Compound: Tb2ZrPd
Source: Alexandria via LeMat-Bulk
Functional: PBE-GGA
Structure: optimized geometry

The density of states at the Fermi level comes out at 1.0595 states/eV/atom. The calculation puts the calculated formation energy at -0.360 eV/atom.

It has space group P4/mmm (No. 123), with a = 3.5256 Å, b = 3.5256 Å, c = 7.8806 Å, α = 90.00°, β = 90.00° and γ = 90.00°. Symmetry generates all atoms from Tb at (0.0000, 0.0000, 0.2192), Zr at (0.5000, 0.5000, 0.5000) and Pd at (0.5000, 0.5000, 0.0000).